Entry 1:
An optimized crystal structure of TlCdPRu2. Source: the Alexandria database, functional GGA-PBE.

Cell and atoms, written as CIF:
```
data_TlCdPRu2
_chemical_formula_sum 'Tl1 Cd1 P1 Ru2'
_symmetry_space_group_name_H-M 'P 1'
_symmetry_Int_Tables_number 1
_cell_length_a 4.471
_cell_length_b 4.471
_cell_length_c 4.856
_cell_angle_alpha 90.00
_cell_angle_beta 90.00
_cell_angle_gamma 90.00
loop_
_symmetry_equiv_pos_as_xyz
'x,y,z'
loop_
_atom_site_label
_atom_site_type_symbol
_atom_site_fract_x
_atom_site_fract_y
_atom_site_fract_z
_atom_site_occupancy
Tl1 Tl 0.000 0.000 0.000 1
Cd1 Cd 0.500 0.500 0.000 1
P1 P 0.500 0.500 0.500 1
Ru1 Ru 0.000 0.500 0.500 1
Ru2 Ru 0.500 0.000 0.500 1
```

- total magnetization (μB/f.u.) = 0.000
- E_tot (eV per cell) = -25.0
- N(E_F) (states/eV/cell) = 4.59

---

Entry 2:
An optimized crystal structure of CsPu2AuSe4. Source: the Alexandria database, functional GGA-PBE.

Cell and atoms, written as CIF:
```
data_CsPu2AuSe4
_chemical_formula_sum 'Cs2 Pu4 Au2 Se8'
_symmetry_space_group_name_H-M 'P 1'
_symmetry_Int_Tables_number 1
_cell_length_a 7.678
_cell_length_b 7.678
_cell_length_c 14.751
_cell_angle_alpha 90.00
_cell_angle_beta 90.00
_cell_angle_gamma 147.46
loop_
_symmetry_equiv_pos_as_xyz
'x,y,z'
loop_
_atom_site_label
_atom_site_type_symbol
_atom_site_fract_x
_atom_site_fract_y
_atom_site_fract_z
_atom_site_occupancy
Cs1 Cs 0.117 0.883 0.750 1
Cs2 Cs 0.883 0.117 0.250 1
Pu1 Pu 0.369 0.631 0.563 1
Pu2 Pu 0.369 0.631 0.937 1
Pu3 Pu 0.631 0.369 0.063 1
Pu4 Pu 0.631 0.369 0.437 1
Au1 Au 0.160 0.840 0.250 1
Au2 Au 0.840 0.160 0.750 1
Se1 Se 0.000 0.000 0.000 1
Se2 Se 0.000 0.000 0.500 1
Se3 Se 0.258 0.742 0.100 1
Se4 Se 0.258 0.742 0.400 1
Se5 Se 0.437 0.563 0.750 1
Se6 Se 0.563 0.437 0.250 1
Se7 Se 0.742 0.258 0.600 1
Se8 Se 0.742 0.258 0.900 1
```

- raw formation energy (eV per formula unit) = -9.5
- total magnetization (μB/f.u.) = 10.000
- E_tot (eV per cell) = -112.4
- N(E_F) (states/eV/cell) = 43.69

---

Entry 3:
An optimized crystal structure of Ac2ErMgO6. Source: the Alexandria database, functional GGA-PBE.

Cell and atoms, written as CIF:
```
data_Ac2ErMgO6
_chemical_formula_sum 'Ac4 Er2 Mg2 O12'
_symmetry_space_group_name_H-M 'P 1'
_symmetry_Int_Tables_number 1
_cell_length_a 5.887
_cell_length_b 6.021
_cell_length_c 10.182
_cell_angle_alpha 90.00
_cell_angle_beta 124.74
_cell_angle_gamma 90.00
loop_
_symmetry_equiv_pos_as_xyz
'x,y,z'
loop_
_atom_site_label
_atom_site_type_symbol
_atom_site_fract_x
_atom_site_fract_y
_atom_site_fract_z
_atom_site_occupancy
Ac1 Ac 0.235 0.047 0.249 1
Ac2 Ac 0.235 0.453 0.749 1
Ac3 Ac 0.765 0.547 0.251 1
Ac4 Ac 0.765 0.953 0.751 1
Er1 Er 0.500 0.000 0.000 1
Er2 Er 0.500 0.500 0.500 1
Mg1 Mg 0.000 0.000 0.500 1
Mg2 Mg 0.000 0.500 0.000 1
O1 O 0.144 0.209 0.946 1
O2 O 0.144 0.291 0.446 1
O3 O 0.236 0.701 0.946 1
O4 O 0.236 0.799 0.446 1
O5 O 0.343 0.039 0.744 1
O6 O 0.343 0.461 0.244 1
O7 O 0.657 0.539 0.756 1
O8 O 0.657 0.961 0.256 1
O9 O 0.764 0.201 0.554 1
O10 O 0.764 0.299 0.054 1
O11 O 0.856 0.709 0.554 1
O12 O 0.856 0.791 0.054 1
```

- raw formation energy (eV per formula unit) = -30.3
- total magnetization (μB/f.u.) = 1.061
- E_tot (eV per cell) = -148.8
- N(E_F) (states/eV/cell) = 17.26

---

- Which formula does entry 3 have?
  Ac2ErMgO6

---

Repeat the second record exactly.
An optimized crystal structure of CsPu2AuSe4. Source: the Alexandria database, functional GGA-PBE.

Cell and atoms, written as CIF:
```
data_CsPu2AuSe4
_chemical_formula_sum 'Cs2 Pu4 Au2 Se8'
_symmetry_space_group_name_H-M 'P 1'
_symmetry_Int_Tables_number 1
_cell_length_a 7.678
_cell_length_b 7.678
_cell_length_c 14.751
_cell_angle_alpha 90.00
_cell_angle_beta 90.00
_cell_angle_gamma 147.46
loop_
_symmetry_equiv_pos_as_xyz
'x,y,z'
loop_
_atom_site_label
_atom_site_type_symbol
_atom_site_fract_x
_atom_site_fract_y
_atom_site_fract_z
_atom_site_occupancy
Cs1 Cs 0.117 0.883 0.750 1
Cs2 Cs 0.883 0.117 0.250 1
Pu1 Pu 0.369 0.631 0.563 1
Pu2 Pu 0.369 0.631 0.937 1
Pu3 Pu 0.631 0.369 0.063 1
Pu4 Pu 0.631 0.369 0.437 1
Au1 Au 0.160 0.840 0.250 1
Au2 Au 0.840 0.160 0.750 1
Se1 Se 0.000 0.000 0.000 1
Se2 Se 0.000 0.000 0.500 1
Se3 Se 0.258 0.742 0.100 1
Se4 Se 0.258 0.742 0.400 1
Se5 Se 0.437 0.563 0.750 1
Se6 Se 0.563 0.437 0.250 1
Se7 Se 0.742 0.258 0.600 1
Se8 Se 0.742 0.258 0.900 1
```

- raw formation energy (eV per formula unit) = -9.5
- total magnetization (μB/f.u.) = 10.000
- E_tot (eV per cell) = -112.4
- N(E_F) (states/eV/cell) = 43.69